! CsK3Sb PBE-GGA optimized geometry; values from VASP
&SYSTEM
  ibrav = 0, nat = 20, ntyp = 3
/
ATOMIC_SPECIES
Sb 121.76 Sb.upf
K 39.10 K.upf
Cs 132.91 Cs.upf
ATOMIC_POSITIONS crystal
Sb 0.212 0.732 0.405
Sb 0.712 0.405 0.732
Sb 0.788 0.268 0.595
Sb 0.288 0.595 0.268
K 0.425 0.339 0.991
K 0.075 0.009 0.661
K 0.086 0.655 0.015
K 0.575 0.661 0.009
K 0.586 0.015 0.655
K 0.085 0.339 0.342
K 0.585 0.342 0.339
K 0.915 0.661 0.658
K 0.914 0.345 0.985
K 0.414 0.985 0.345
K 0.925 0.991 0.339
K 0.415 0.658 0.661
Cs 0.750 0.075 0.925
Cs 0.250 0.925 0.075
Cs 0.250 0.384 0.616
Cs 0.750 0.616 0.384
CELL_PARAMETERS angstrom
8.455 0.066 0.049
2.005 12.697 1.150
2.005 4.825 11.801
! Space-group type: C2/c, No. 15
! E_form (uncorrected), meV per atom: -194.4
! Magnetization, μB/cell: 0.000
! Energy above the most stable polymorph in this dataset, eV/atom: 0.056